(1)
Density functional theory data (PBE) for In2SiMoAu after structural relaxation.

The structure belongs to space group P4/mmm (No. 123); the cell edges are 5.021, 5.021 and 4.650 Å and the angles 90.00°, 90.00° and 90.00°. The asymmetric unit holds In at (0.000, 0.500, 0.000), Si at (0.000, 0.000, 0.000), Mo at (0.000, 0.000, 0.500) and Au at (0.500, 0.500, 0.500).

The calculation puts the raw formation energy at 0.855 eV/atom. The value obtained for the total energy is -4.1471 eV per atom.

(2)
Density functional theory data (PBE) for InAuN3 after structural relaxation.

The structure belongs to space group Pm-3m (No. 221); the cell edges are 4.277, 4.277 and 4.277 Å and the angles 90.00°, 90.00° and 90.00°. The asymmetric unit holds In at (0.000, 0.000, 0.000), Au at (0.500, 0.500, 0.500) and N at (0.000, 0.000, 0.500).

The calculation puts the raw formation energy at 2.249 eV/atom. The value obtained for the total energy is -3.9493 eV per atom.

(3)
Density functional theory data (PBE) for InAuN2 after structural relaxation.

The structure belongs to space group R-3m (No. 166, hexagonal axes); the cell edges are 3.2786, 3.2786 and 19.5869 Å and the angles 90.00°, 90.00° and 120.00°. The asymmetric unit holds In at (0.0000, 0.0000, 0.0000), Au at (0.0000, 0.0000, 0.5000) and N at (0.0000, 0.0000, 0.1152).

The calculation puts the raw formation energy at 1.144 eV/atom. The value obtained for the total energy is -4.5224 eV per atom.

no.,mass density (kg/m³),Fermi-level density of states (states/eV/f.u.)
1,7800,4.6
2,7511,1.2
3,9284,0.7